Computed, not measured: a geometry-optimized CsRb2 structure at the GGA-PBE level of DFT.

Calculated values
Space group   C2/c
Formation energy   0.0026 eV per atom
Crystal system   monoclinic
VASP energy   -2.8 eV/f.u.
Volume   97.04 Å³/atom

a = 8.922 Å, b = 8.922 Å, c = 9.878 Å
α = 90.14°, β = 117.04°, γ = 119.60°
Fractional coordinates of all 6 atoms:
Cs: 0.658 0.908 0.750
Cs: 0.342 0.092 0.250
Rb: 0.006 0.580 0.757
Rb: 0.994 0.420 0.243
Rb: 0.324 0.250 0.743
Rb: 0.676 0.750 0.257